# 1
This record from Alexandria describes a relaxed structure of ZrSc2OsC. The functional is PBE-GGA.

Properties
D(E_F)   2.8 states/eV/f.u.
Electronic total energy   -8.57 eV/atom
Space-group type   P4/mmm (123)
Formation energy   -1.17 eV per formula unit

Structure (CIF):
```
data_ZrSc2OsC
_chemical_formula_sum 'Zr1 Sc2 Os1 C1'
_cell_length_a 4.367
_cell_length_b 4.367
_cell_length_c 4.551
_cell_angle_alpha 90.00
_cell_angle_beta 90.00
_cell_angle_gamma 90.00
_symmetry_space_group_name_H-M 'P 1'
_symmetry_Int_Tables_number 1
loop_
_symmetry_equiv_pos_as_xyz
'x,y,z'
loop_
_atom_site_label
_atom_site_fract_x
_atom_site_fract_y
_atom_site_fract_z
_atom_site_occupancy
C1 0.000 0.000 0.000 1
Os1 0.500 0.500 0.500 1
Zr1 0.000 0.000 0.500 1
Sc1 0.000 0.500 0.000 1
Sc2 0.500 0.000 0.000 1
```

***

# 2
This record from Alexandria describes a relaxed structure of Os2CSe. The functional is PBE-GGA.

Properties
D(E_F)   2.7 states/eV/f.u.
Energy relative to the elements, uncorrected   1.4763 eV/atom
Offset from the most stable computed form   3.31 eV per formula unit
Electronic total energy   -7.32 eV/atom
Space-group type   Fm-3m (225)

Structure (CIF):
```
data_Os2CSe
_chemical_formula_sum 'Os2 C1 Se1'
_cell_length_a 4.153
_cell_length_b 4.153
_cell_length_c 4.153
_cell_angle_alpha 60.00
_cell_angle_beta 60.00
_cell_angle_gamma 60.00
_symmetry_space_group_name_H-M 'P 1'
_symmetry_Int_Tables_number 1
loop_
_symmetry_equiv_pos_as_xyz
'x,y,z'
loop_
_atom_site_label
_atom_site_fract_x
_atom_site_fract_y
_atom_site_fract_z
_atom_site_occupancy
Os1 0.750 0.750 0.750 1
Os2 0.250 0.250 0.250 1
Se1 0.500 0.500 0.500 1
C1 0.000 0.000 0.000 1
```

***

# 3
This record from Alexandria describes a relaxed structure of OsC3Se. The functional is PBE-GGA.

Properties
D(E_F)   5.7 states/eV/f.u.
Energy relative to the elements, uncorrected   3.1933 eV/atom
Offset from the most stable computed form   5.53 eV per formula unit
Electronic total energy   -5.28 eV/atom
Space-group type   Pm-3m (221)

Structure (CIF):
```
data_OsC3Se
_chemical_formula_sum 'Os1 C3 Se1'
_cell_length_a 3.810
_cell_length_b 3.810
_cell_length_c 3.810
_cell_angle_alpha 90.00
_cell_angle_beta 90.00
_cell_angle_gamma 90.00
_symmetry_space_group_name_H-M 'P 1'
_symmetry_Int_Tables_number 1
loop_
_symmetry_equiv_pos_as_xyz
'x,y,z'
loop_
_atom_site_label
_atom_site_fract_x
_atom_site_fract_y
_atom_site_fract_z
_atom_site_occupancy
Os1 0.500 0.500 0.500 1
C1 0.500 0.000 0.000 1
C2 0.000 0.000 0.500 1
C3 0.000 0.500 0.000 1
Se1 0.000 0.000 0.000 1
```

***

# 4
This record from Alexandria describes a relaxed structure of Os2CSe. The functional is PBE-GGA.

Properties
D(E_F)   1.8 states/eV/f.u.
Energy relative to the elements, uncorrected   0.6482 eV/atom
Offset from the most stable computed form   0.00 eV per formula unit
Electronic total energy   -8.14 eV/atom
Space-group type   I-42d (122)

Structure (CIF):
```
data_Os2CSe
_chemical_formula_sum 'Os4 C2 Se2'
_cell_length_a 5.027
_cell_length_b 5.027
_cell_length_c 6.178
_cell_angle_alpha 65.99
_cell_angle_beta 65.99
_cell_angle_gamma 90.00
_symmetry_space_group_name_H-M 'P 1'
_symmetry_Int_Tables_number 1
loop_
_symmetry_equiv_pos_as_xyz
'x,y,z'
loop_
_atom_site_label
_atom_site_fract_x
_atom_site_fract_y
_atom_site_fract_z
_atom_site_occupancy
Os1 0.550 0.125 0.250 1
Os2 0.375 0.450 0.750 1
Os3 0.875 0.800 0.750 1
Os4 0.200 0.625 0.250 1
C1 0.250 0.750 0.500 1
C2 0.500 0.500 0.000 1
Se1 0.000 0.000 0.000 1
Se2 0.750 0.250 0.500 1
```

***

# 5
This record from Alexandria describes a relaxed structure of OsCSe3. The functional is PBE-GGA.

Properties
D(E_F)   3.4 states/eV/f.u.
Energy relative to the elements, uncorrected   1.5447 eV/atom
Offset from the most stable computed form   0.00 eV per formula unit
Electronic total energy   -4.64 eV/atom
Space-group type   Pm-3m (221)

Structure (CIF):
```
data_OsCSe3
_chemical_formula_sum 'Os1 C1 Se3'
_cell_length_a 4.251
_cell_length_b 4.251
_cell_length_c 4.251
_cell_angle_alpha 90.00
_cell_angle_beta 90.00
_cell_angle_gamma 90.00
_symmetry_space_group_name_H-M 'P 1'
_symmetry_Int_Tables_number 1
loop_
_symmetry_equiv_pos_as_xyz
'x,y,z'
loop_
_atom_site_label
_atom_site_fract_x
_atom_site_fract_y
_atom_site_fract_z
_atom_site_occupancy
Se1 0.000 0.000 0.500 1
Se2 0.500 0.000 0.000 1
Se3 0.000 0.500 0.000 1
C1 0.000 0.000 0.000 1
Os1 0.500 0.500 0.500 1
```

***

# 6
This record from Alexandria describes a relaxed structure of OsC3Se. The functional is PBE-GGA.

Properties
D(E_F)   2.3 states/eV/f.u.
Energy relative to the elements, uncorrected   2.0880 eV/atom
Offset from the most stable computed form   0.00 eV per formula unit
Electronic total energy   -6.39 eV/atom
Space-group type   Pm-3m (221)

Structure (CIF):
```
data_OsC3Se
_chemical_formula_sum 'Os1 C3 Se1'
_cell_length_a 4.051
_cell_length_b 4.051
_cell_length_c 4.051
_cell_angle_alpha 90.00
_cell_angle_beta 90.00
_cell_angle_gamma 90.00
_symmetry_space_group_name_H-M 'P 1'
_symmetry_Int_Tables_number 1
loop_
_symmetry_equiv_pos_as_xyz
'x,y,z'
loop_
_atom_site_label
_atom_site_fract_x
_atom_site_fract_y
_atom_site_fract_z
_atom_site_occupancy
Os1 0.000 0.000 0.000 1
C1 0.000 0.500 0.000 1
C2 0.000 0.000 0.500 1
C3 0.500 0.000 0.000 1
Se1 0.500 0.500 0.500 1
```

***

# 7
This record from Alexandria describes a relaxed structure of OsCSe3. The functional is PBE-GGA.

Properties
D(E_F)   8.0 states/eV/f.u.
Energy relative to the elements, uncorrected   1.9215 eV/atom
Offset from the most stable computed form   1.88 eV per formula unit
Electronic total energy   -4.26 eV/atom
Space-group type   Pm-3m (221)

Structure (CIF):
```
data_OsCSe3
_chemical_formula_sum 'Os1 C1 Se3'
_cell_length_a 4.877
_cell_length_b 4.877
_cell_length_c 4.877
_cell_angle_alpha 90.00
_cell_angle_beta 90.00
_cell_angle_gamma 90.00
_symmetry_space_group_name_H-M 'P 1'
_symmetry_Int_Tables_number 1
loop_
_symmetry_equiv_pos_as_xyz
'x,y,z'
loop_
_atom_site_label
_atom_site_fract_x
_atom_site_fract_y
_atom_site_fract_z
_atom_site_occupancy
Se1 0.000 0.000 0.500 1
Se2 0.000 0.500 0.000 1
Se3 0.500 0.000 0.000 1
Os1 0.000 0.000 0.000 1
C1 0.500 0.500 0.500 1
```

***

# 8
This record from Alexandria describes a relaxed structure of SiOsCSe2. The functional is PBE-GGA.

Properties
D(E_F)   3.7 states/eV/f.u.
Energy relative to the elements, uncorrected   2.3218 eV/atom
Electronic total energy   -4.25 eV/atom
Space-group type   P4/mmm (123)

Structure (CIF):
```
data_SiOsCSe2
_chemical_formula_sum 'Si1 Os1 C1 Se2'
_cell_length_a 4.769
_cell_length_b 4.549
_cell_length_c 4.769
_cell_angle_alpha 90.00
_cell_angle_beta 90.00
_cell_angle_gamma 90.00
_symmetry_space_group_name_H-M 'P 1'
_symmetry_Int_Tables_number 1
loop_
_symmetry_equiv_pos_as_xyz
'x,y,z'
loop_
_atom_site_label
_atom_site_fract_x
_atom_site_fract_y
_atom_site_fract_z
_atom_site_occupancy
Si1 0.000 0.000 0.000 1
Os1 0.000 0.500 0.000 1
Se1 0.500 0.000 0.000 1
Se2 0.000 0.000 0.500 1
C1 0.500 0.500 0.500 1
```

***

Question: The lowest D(E_F) belongs to which entry?
Answer: number 4

***

Question: The lowest electronic total energy belongs to which entry?
Answer: ZrSc2OsC